Computed, not measured: a relaxed structure of Fe3O5F at the PBE with a Hubbard U level of DFT.

abc: 9.0155 4.6579 4.6579
angles: 86.77 90.00 90.00
Closest atoms and distances in Å follow each position.
Positions (direct):
1 Fe 0.0000 0.0000 0.0000  5 O 1.98
2 Fe 0.1614 0.4855 0.4855  5 O 1.89-1.96
3 Fe 0.3326 0.0163 0.0163  5 O 1.94-2.02, 1 F 2.14
4 Fe 0.5000 0.4875 0.4875  4 O 1.94-1.97, 2 F 2.06
5 Fe 0.6674 0.0163 0.0163  5 O 1.94-2.02, 1 F 2.14
6 Fe 0.8386 0.4855 0.4855  5 O 1.89-1.96
7 O 0.0000 0.2919 0.2919  3 Fe 1.96-1.98
8 O 0.0000 0.6718 0.6718  2 Fe 1.93
9 O 0.1696 0.1892 0.7981  3 Fe 1.94-1.98
10 O 0.1696 0.7981 0.1892  3 Fe 1.94-1.98
11 O 0.3280 0.3150 0.3150  3 Fe 1.89-2.02
12 O 0.5000 0.2005 0.8152  3 Fe 1.95-1.97
13 O 0.5000 0.8152 0.2005  3 Fe 1.95-1.97
14 O 0.6720 0.3150 0.3150  3 Fe 1.89-2.02
15 O 0.8304 0.1892 0.7981  3 Fe 1.94-1.98
16 O 0.8304 0.7981 0.1892  3 Fe 1.94-1.98
17 F 0.3361 0.6996 0.6996  3 Fe 2.06-2.14
18 F 0.6639 0.6996 0.6996  3 Fe 2.06-2.14

D(E_F)	7.7	states/eV/cell
energy relative to the lowest polymorph listed for this composition	0.005	eV/atom
final energy	-6.119	eV per atom


Computed, not measured: a relaxed structure of Fe4OF7 at the PBE with a Hubbard U level of DFT.

abc: 5.7940 5.7940 9.2414
angles: 91.10 91.10 72.40
Closest atoms and distances in Å follow each position.
Positions (direct):
1 Fe 0.0000 0.0000 0.0000  2 O 1.91, 4 F 2.05
2 Fe 0.1146 0.1146 0.6411  1 O 1.90, 3 F 2.06-2.08
3 Fe 0.2320 0.2320 0.2535  1 O 2.04, 5 F 2.07-2.20
4 Fe 0.3798 0.3798 0.8707  6 F 2.03-2.14
5 Fe 0.5000 0.5000 0.5000  6 F 2.08-2.17
6 Fe 0.6202 0.6202 0.1293  6 F 2.03-2.14
7 Fe 0.7680 0.7680 0.7465  1 O 2.04, 5 F 2.07-2.20
8 Fe 0.8854 0.8854 0.3589  1 O 1.90, 3 F 2.06-2.08
9 O 0.0182 0.0182 0.2062  3 Fe 1.90-2.04
10 O 0.9818 0.9818 0.7938  3 Fe 1.90-2.04
11 F 0.0550 0.4510 0.7423  3 Fe 2.07-2.14
12 F 0.1946 0.8054 0.5000  3 Fe 2.09-2.13
13 F 0.2190 0.2190 0.0152  3 Fe 2.03-2.20
14 F 0.2680 0.2680 0.4843  3 Fe 2.06-2.17
15 F 0.3001 0.6999 0.0000  3 Fe 2.05-2.12
16 F 0.4510 0.0550 0.7423  3 Fe 2.07-2.14
17 F 0.4630 0.4630 0.2769  3 Fe 2.03-2.17
18 F 0.5370 0.5370 0.7231  3 Fe 2.03-2.17
19 F 0.5490 0.9450 0.2577  3 Fe 2.07-2.14
20 F 0.6999 0.3001 0.0000  3 Fe 2.05-2.12
21 F 0.7320 0.7320 0.5157  3 Fe 2.06-2.17
22 F 0.7810 0.7810 0.9848  3 Fe 2.03-2.20
23 F 0.8054 0.1946 0.5000  3 Fe 2.09-2.13
24 F 0.9450 0.5490 0.2577  3 Fe 2.07-2.14

D(E_F)	6.3	states/eV/cell
energy relative to the lowest polymorph listed for this composition	0.050	eV/atom
final energy	-5.620	eV per atom


Computed, not measured: a relaxed structure of Fe6O5F7 at the PBE with a Hubbard U level of DFT.

abc: 4.7598 5.6666 7.7084
angles: 85.14 88.10 86.78
Closest atoms and distances in Å follow each position.
Positions (direct):
1 Fe 0.0000 0.0000 0.0000  3 O 1.94-2.04, 3 F 2.03-2.15
2 Fe 0.0083 0.6680 0.3330  2 O 1.91, 4 F 1.92-1.99
3 Fe 0.0463 0.3346 0.6530  2 O 1.83-1.89, 4 F 1.98-2.03
4 Fe 0.4261 0.8263 0.6597  3 O 1.89-1.93, 1 F 2.08
5 Fe 0.5240 0.1666 0.3240  2 O 2.02-2.04, 4 F 2.14-2.17
6 Fe 0.5632 0.5307 0.0064  3 O 1.91-1.98, 2 F 2.04-2.06
7 O 0.1996 0.6144 0.5485  3 Fe 1.89-1.93
8 O 0.3150 0.1340 0.5598  3 Fe 1.83-2.04
9 O 0.3226 0.7973 0.8996  3 Fe 1.89-2.04
10 O 0.7163 0.2229 0.0877  3 Fe 1.91-2.02
11 O 0.8188 0.7211 0.1178  3 Fe 1.91-1.98
12 F 0.1941 0.9584 0.2374  3 Fe 1.99-2.17
13 F 0.2133 0.3018 0.8862  2 Fe 1.98-2.15
14 F 0.3002 0.4830 0.2198  3 Fe 1.92-2.14
15 F 0.7144 0.8498 0.4503  3 Fe 1.94-2.14
16 F 0.7290 0.5403 0.7552  3 Fe 2.03-2.20
17 F 0.8337 0.3759 0.4304  3 Fe 1.97-2.17
18 F 0.8455 0.0547 0.7567  2 Fe 1.99-2.03

energy relative to the lowest polymorph listed for this composition	0.214	eV/atom
final energy	-5.706	eV per atom


Computed, not measured: a relaxed structure of Fe3O5F at the PBE with a Hubbard U level of DFT.

abc: 6.4939 2.9602 10.2794
angles: 90.00 108.09 90.00
Closest atoms and distances in Å follow each position.
Positions (direct):
1 Fe 0.0000 0.0000 0.0000  5 O 1.95-1.96
2 Fe 0.1487 0.5000 0.3270  5 O 1.90-1.94, 1 F 2.07
3 Fe 0.3297 0.0000 0.6630  6 O 1.94-2.09
4 Fe 0.5004 0.5000 0.9965  6 O 1.92-2.00
5 Fe 0.6673 0.0000 0.3161  4 O 1.87-1.94, 2 F 1.99
6 Fe 0.8172 0.5000 0.6362  4 O 1.90-2.01, 2 F 1.99
7 O 0.1019 0.0000 0.2006  3 Fe 1.93-1.96
8 O 0.1350 0.5000 0.6584  3 Fe 1.94-2.00
9 O 0.1879 0.5000 0.9864  3 Fe 1.95-2.00
10 O 0.2177 0.0000 0.4496  3 Fe 1.90-2.09
11 O 0.4389 0.0000 0.8711  3 Fe 1.92-2.03
12 O 0.5178 0.5000 0.6536  3 Fe 1.94-2.01
13 O 0.5438 0.0000 0.1249  3 Fe 1.88-1.94
14 O 0.7587 0.0000 0.5147  3 Fe 1.90-1.94
15 O 0.8010 0.5000 0.9931  3 Fe 1.95-1.96
16 O 0.8444 0.5000 0.3161  3 Fe 1.87-1.94
17 F 0.4671 0.5000 0.3255  3 Fe 1.99-2.07
18 F 0.8820 0.0000 0.7726  3 Fe 1.99-2.22

D(E_F)	6.5	states/eV/cell
energy relative to the lowest polymorph listed for this composition	0.198	eV/atom
final energy	-5.926	eV per atom


Computed, not measured: a relaxed structure of FeOF at the PBE with a Hubbard U level of DFT.

abc: 7.3979 7.3979 4.8193
angles: 90.16 90.16 23.98
Closest atoms and distances in Å follow each position.
Positions (direct):
1 Fe 0.0000 0.0000 0.0000  4 O 2.00, 2 F 2.11-2.15
2 Fe 0.3383 0.3383 0.4378  3 O 1.88-1.95
3 Fe 0.6566 0.6566 0.5596  2 O 1.84-1.87, 2 F 2.04
4 O 0.4354 0.4354 0.1787  3 Fe 1.88-2.00
5 O 0.5641 0.5641 0.8191  3 Fe 1.84-2.00
6 O 0.7623 0.7623 0.3357  3 Fe 1.87-1.95
7 F 0.0969 0.0969 0.3380  3 Fe 2.06-2.15
8 F 0.2240 0.2240 0.7498  3 Fe 2.04-2.24
9 F 0.8987 0.8987 0.6840  3 Fe 2.11-2.13

final energy	-5.756	eV per atom


Computed, not measured: a relaxed structure of FeOF3 at the PBE with a Hubbard U level of DFT.

abc: 3.9039 6.0934 7.4615
angles: 103.38 91.95 90.00
Closest atoms and distances in Å follow each position.
Positions (direct):
1 Fe 0.0000 0.0000 0.0000  6 F 1.95-1.98
2 Fe 0.0000 0.4994 0.0000  6 F 1.95-1.98
3 O 0.4983 0.8489 0.5303  1 O 1.23
4 O 0.5072 0.6432 0.4682  1 O 1.23
5 F 0.0101 0.7990 0.1736  2 Fe 1.98
6 F 0.0109 0.2989 0.1739  2 Fe 1.98
7 F 0.5001 0.9999 0.0007  2 Fe 1.95
8 F 0.4999 0.4994 0.9987  2 Fe 1.95
9 F 0.9891 0.2005 0.8261  2 Fe 1.98
10 F 0.9900 0.7004 0.8265  2 Fe 1.98

final energy	-5.150	eV per atom


Computed, not measured: a relaxed structure of Fe5O7F3 at the PBE with a Hubbard U level of DFT.

abc: 4.6283 4.6283 15.0295
angles: 90.25 90.25 91.51
Closest atoms and distances in Å follow each position.
Positions (direct):
1 Fe 0.0000 0.0000 0.0000  4 O 1.87-1.98, 2 F 1.98
2 Fe 0.0007 0.9983 0.8042  4 O 1.89-1.94, 2 F 1.99-2.02
3 Fe 0.0017 0.9993 0.1958  4 O 1.89-1.94, 2 F 1.99-2.02
4 Fe 0.0343 0.0176 0.4029  4 O 1.92-2.02, 2 F 2.05-2.13
5 Fe 0.4685 0.5219 0.2916  4 O 1.94-1.99, 2 F 2.08-2.16
6 Fe 0.4781 0.5315 0.7084  4 O 1.94-1.99, 2 F 2.08-2.16
7 Fe 0.5049 0.4951 0.5000  4 O 1.92-1.98, 2 F 2.09
8 Fe 0.5246 0.4720 0.9006  5 O 1.93-1.98, 1 F 2.15
9 Fe 0.5280 0.4754 0.0994  5 O 1.93-1.98, 1 F 2.15
10 Fe 0.9824 0.9657 0.5971  4 O 1.92-2.02, 2 F 2.05-2.13
11 O 0.1730 0.8136 0.7054  3 Fe 1.90-1.99
12 O 0.1864 0.8270 0.2946  3 Fe 1.90-1.99
13 O 0.2069 0.7931 0.5000  3 Fe 1.97-1.98
14 O 0.3011 0.2952 0.8052  3 Fe 1.93-1.99
15 O 0.3034 0.2971 0.1933  3 Fe 1.93-1.94
16 O 0.3180 0.2959 0.0000  3 Fe 1.95-1.98
17 O 0.3213 0.3230 0.3976  3 Fe 1.92-1.96
18 O 0.6770 0.6787 0.6024  3 Fe 1.92-1.96
19 O 0.7029 0.6966 0.8067  3 Fe 1.93-1.94
20 O 0.7041 0.6820 0.0000  3 Fe 1.95-1.98
21 O 0.7048 0.6989 0.1948  3 Fe 1.93-1.99
22 O 0.8002 0.1998 0.5000  3 Fe 1.96-2.02
23 O 0.8235 0.1743 0.0973  3 Fe 1.87-1.98
24 O 0.8257 0.1765 0.9027  3 Fe 1.87-1.98
25 F 0.2013 0.7984 0.9028  3 Fe 1.98-2.15
26 F 0.2016 0.7987 0.0972  3 Fe 1.98-2.15
27 F 0.2862 0.2953 0.6052  3 Fe 2.05-2.09
28 F 0.7047 0.7138 0.3948  3 Fe 2.05-2.09
29 F 0.7905 0.1932 0.7039  3 Fe 2.02-2.16
30 F 0.8068 0.2095 0.2961  3 Fe 2.02-2.16

D(E_F)	11.3	states/eV/cell
energy relative to the lowest polymorph listed for this composition	0.152	eV/atom
final energy	-5.948	eV per atom


Computed, not measured: a relaxed structure of Fe2OF at the PBE with a Hubbard U level of DFT.

abc: 4.7641 4.7641 10.4769
angles: 90.00 90.00 90.00
Closest atoms and distances in Å follow each position.
Positions (direct):
1 Fe 0.1993 0.2500 0.1250  2 O 2.01
2 Fe 0.2500 0.6993 0.3750  2 O 2.01
3 Fe 0.2500 0.8007 0.8750  2 O 2.01
4 Fe 0.3007 0.2500 0.6250  2 O 2.01
5 Fe 0.6993 0.7500 0.6250  2 O 2.01
6 Fe 0.7500 0.1993 0.8750  2 O 2.01
7 Fe 0.7500 0.3007 0.3750  2 O 2.01
8 Fe 0.8007 0.7500 0.1250  2 O 2.01
9 O 0.0000 0.0000 0.0000  4 Fe 2.01
10 O 0.0000 0.5000 0.2500  4 Fe 2.01
11 O 0.5000 0.0000 0.7500  4 Fe 2.01
12 O 0.5000 0.5000 0.5000  4 Fe 2.01
13 F 0.0000 0.0000 0.5000  4 Fe 2.28
14 F 0.0000 0.5000 0.7500  4 Fe 2.28
15 F 0.5000 0.0000 0.2500  4 Fe 2.28
16 F 0.5000 0.5000 0.0000  4 Fe 2.28

D(E_F)	6.2	states/eV/cell
energy relative to the lowest polymorph listed for this composition	0.000	eV/atom
final energy	-5.688	eV per atom


Number 1: V 10.8 Å³/atom, M_tot 0.521 μB/atom. Number 2: V 12.3 Å³/atom, M_tot 1.332 μB/atom. Number 3: V 11.5 Å³/atom, M_tot 1.056 μB/atom. Number 4: V 10.4 Å³/atom, M_tot 0.695 μB/atom. Number 5: V 11.9 Å³/atom, M_tot 1.222 μB/atom. Number 6: V 17.3 Å³/atom, M_tot 1.200 μB/atom. Number 7: V 10.7 Å³/atom, M_tot 0.123 μB/atom. Number 8: V 14.9 Å³/atom, M_tot 1.877 μB/atom.